1.
! YRe2Ag (GGA-PBE, optimized geometry); values from VASP
&SYSTEM
  ibrav = 0, nat = 4, ntyp = 3
/
ATOMIC_SPECIES
Ag 107.87 Ag.upf
Re 186.21 Re.upf
Y 88.91 Y.upf
ATOMIC_POSITIONS angstrom
Ag 1.561 1.561 6.014
Re 0.000 0.000 0.235
Re 1.561 1.561 1.591
Y 0.000 0.000 3.730
CELL_PARAMETERS angstrom
3.122 0.000 0.000
0.000 3.122 0.000
0.000 0.000 7.714
! Calculated volume (Å³/atom): 18.79
! SG: P4mm (99)
! Crystal system: tetragonal
! Offset from the most stable computed form (meV/atom): 0
! Energy of formation (eV per atom): 0.14

=====

2.
! Y2ReAg (GGA-PBE, optimized geometry); values from VASP
&SYSTEM
  ibrav = 0, nat = 4, ntyp = 3
/
ATOMIC_SPECIES
Ag 107.87 Ag.upf
Re 186.21 Re.upf
Y 88.91 Y.upf
ATOMIC_POSITIONS angstrom
Ag -6.276 0.546 2.696
Re -18.827 1.639 8.089
Y -0.186 0.016 0.080
Y -12.366 1.077 5.313
CELL_PARAMETERS angstrom
-8.792 2.181 2.312
-8.739 -1.160 3.114
-7.572 1.165 5.359
! Calculated volume (Å³/atom): 23.35
! SG: R-3m (166)
! Crystal system: trigonal
! Offset from the most stable computed form (meV/atom): 313
! Energy of formation (eV per atom): 0.27

=====

3.
! Y2ReAg (GGA-PBE, optimized geometry); values from VASP
&SYSTEM
  ibrav = 0, nat = 4, ntyp = 3
/
ATOMIC_SPECIES
Ag 107.87 Ag.upf
Re 186.21 Re.upf
Y 88.91 Y.upf
ATOMIC_POSITIONS angstrom
Ag -2.897 0.101 4.184
Re -0.468 -0.812 3.200
Y -0.212 0.007 0.307
Y -0.401 2.165 2.827
CELL_PARAMETERS angstrom
-3.208 3.092 4.357
-3.017 -2.874 4.634
5.360 1.134 -2.970
! Calculated volume (Å³/atom): 22.70
! SG: Imm2 (44)
! Crystal system: orthorhombic
! Offset from the most stable computed form (meV/atom): 241
! Energy of formation (eV per atom): 0.19